# 1
# CaAsRh GGA-PBE optimized geometry
data_CaAsRh
_chemical_formula_sum 'Ca1 As1 Rh1'
_cell_length_a 4.5858
_cell_length_b 4.5858
_cell_length_c 4.5858
_cell_angle_alpha 60.00
_cell_angle_beta 60.00
_cell_angle_gamma 60.00
_space_group_name_H-M_alt 'P 1'
_space_group_IT_number 1
loop_
_space_group_symop_operation_xyz
'x,y,z'
loop_
_atom_site_label
_atom_site_fract_x
_atom_site_fract_y
_atom_site_fract_z
_atom_site_occupancy
Ca1 0.7500 0.7500 0.7500 1
Rh1 0.0000 0.0000 0.0000 1
As1 0.5000 0.5000 0.5000 1
# * electronic total energy: -4.506 eV/atom
# * total moment: 0.0 μB per formula unit
# * density of states at the Fermi level: 3.1 states/eV/cell

# 2
# Ca2AsRh2 GGA-PBE optimized geometry
data_Ca2AsRh2
_chemical_formula_sum 'Ca4 As2 Rh4'
_cell_length_a 6.6509
_cell_length_b 6.6509
_cell_length_c 4.5393
_cell_angle_alpha 90.00
_cell_angle_beta 90.00
_cell_angle_gamma 90.00
_space_group_name_H-M_alt 'P 1'
_space_group_IT_number 1
loop_
_space_group_symop_operation_xyz
'x,y,z'
loop_
_atom_site_label
_atom_site_fract_x
_atom_site_fract_y
_atom_site_fract_z
_atom_site_occupancy
Rh1 0.1472 0.3528 0.0000 1
Rh2 0.8528 0.6472 0.0000 1
Rh3 0.6472 0.1472 0.0000 1
Rh4 0.3528 0.8528 0.0000 1
Ca1 0.3284 0.1716 0.5000 1
Ca2 0.8284 0.3284 0.5000 1
Ca3 0.1716 0.6716 0.5000 1
Ca4 0.6716 0.8284 0.5000 1
As1 0.5000 0.5000 0.0000 1
As2 0.0000 0.0000 0.0000 1
# * energy relative to the lowest polymorph listed for this composition: 17.0 kJ per mole of atoms
# * total moment: 0.0 μB per formula unit
# * density of states at the Fermi level: 6.7 states/eV/cell

# 3
# CaAs2Rh4 GGA-PBE optimized geometry
data_CaAs2Rh4
_chemical_formula_sum 'Ca2 As4 Rh8'
_cell_length_a 3.8528
_cell_length_b 7.7802
_cell_length_c 7.7802
_cell_angle_alpha 90.00
_cell_angle_beta 90.00
_cell_angle_gamma 90.00
_space_group_name_H-M_alt 'P 1'
_space_group_IT_number 1
loop_
_space_group_symop_operation_xyz
'x,y,z'
loop_
_atom_site_label
_atom_site_fract_x
_atom_site_fract_y
_atom_site_fract_z
_atom_site_occupancy
Rh1 0.5000 0.5742 0.1661 1
Rh2 0.0000 0.6661 0.9258 1
Rh3 0.5000 0.4258 0.8339 1
Rh4 0.0000 0.3339 0.0742 1
Rh5 0.5000 0.8339 0.4258 1
Rh6 0.0000 0.9258 0.6661 1
Rh7 0.0000 0.0742 0.3339 1
Rh8 0.5000 0.1661 0.5742 1
As1 0.5000 0.7317 0.7317 1
As2 0.0000 0.2317 0.7683 1
As3 0.5000 0.2683 0.2683 1
As4 0.0000 0.7683 0.2317 1
Ca1 0.0000 0.5000 0.5000 1
Ca2 0.5000 0.0000 0.0000 1
# * electronic total energy: -6.442 eV/atom
# * total moment: 0.0 μB per formula unit
# * density of states at the Fermi level: 8.0 states/eV/cell

> Look up the density of states at the Fermi level of the third one.

8.0 states/eV/cell